First-principles (PBE-GGA) data for a geometry-optimized Rb3Sn5Br12 structure, as listed in Alexandria via LeMat-Bulk.

Cell lengths 19.026, 19.026, 19.026 Å; angles 90.00, 90.00, 90.00 degrees
Space group Ia-3d (No. 230)
Unique sites:
Rb 0.000 0.250 0.125 (multiplicity 24)
Sn 0.000 0.000 0.000 (multiplicity 16)
Sn 0.000 0.250 0.375 (multiplicity 24)
Br 0.028 0.056 0.646 (multiplicity 96)

Values from the calculation:
The calculation puts the total DFT energy (no corrections) at -3.102 eV per atom.


First-principles (PBE-GGA) data for a geometry-optimized Rb2SnBr structure, as listed in Alexandria via LeMat-Bulk.

Cell lengths 8.946, 8.946, 8.946 Å; angles 90.00, 90.00, 90.00 degrees
Space group Fm-3m (No. 225)
Unique sites:
Rb 0.250 0.250 0.250 (multiplicity 8)
Sn 0.000 0.000 0.000 (multiplicity 4)
Br 0.000 0.000 0.500 (multiplicity 4)

Values from the calculation:
The energy above the lowest structure with this stoichiometry is 0.000 eV per atom.


First-principles (PBE-GGA) data for a geometry-optimized Rb2SnBr7 structure, as listed in Alexandria via LeMat-Bulk.

Cell lengths 8.408, 8.408, 11.174 Å; angles 90.00, 90.00, 90.00 degrees
Space group I4/mmm (No. 139)
Unique sites:
Rb 0.000 0.500 0.250 (multiplicity 4)
Sn 0.000 0.000 0.000 (multiplicity 2)
Br 0.000 0.000 0.241 (multiplicity 4)
Br 0.000 0.000 0.500 (multiplicity 2)
Br 0.224 0.224 0.000 (multiplicity 8)

Values from the calculation:
The energy above the lowest structure with this stoichiometry is 0.000 eV per atom.


First-principles (PBE-GGA) data for a geometry-optimized RbSnBr3 structure, as listed in Alexandria via LeMat-Bulk.

Cell lengths 15.182, 15.182, 15.182 Å; angles 90.00, 90.00, 90.00 degrees
Space group Fd-3m (No. 227, origin choice 2)
Unique sites:
Rb 0.000 0.000 0.000 (multiplicity 16)
Sn 0.000 0.000 0.500 (multiplicity 16)
Br 0.090 0.375 0.875 (multiplicity 48)

Values from the calculation:
The calculation puts the total DFT energy (no corrections) at -3.113 eV per atom.


First-principles (PBE-GGA) data for a geometry-optimized RbSnBr3 structure, as listed in Alexandria via LeMat-Bulk.

Cell lengths 9.094, 7.914, 12.153 Å; angles 90.00, 112.38, 90.00 degrees
Space group P2_1/c (No. 14)
Unique sites:
Rb 0.173 0.214 0.170 (multiplicity 4)
Sn 0.407 0.723 0.985 (multiplicity 4)
Br 0.159 0.505 0.929 (multiplicity 4)
Br 0.220 0.003 0.921 (multiplicity 4)
Br 0.422 0.675 0.766 (multiplicity 4)

Values from the calculation:
The calculation puts the total DFT energy (no corrections) at -3.176 eV per atom.


First-principles (PBE-GGA) data for a geometry-optimized Rb2SnBr5 structure, as listed in Alexandria via LeMat-Bulk.

Cell lengths 8.150, 8.150, 9.973 Å; angles 90.00, 90.00, 90.00 degrees
Space group I4mm (No. 107)
Unique sites:
Rb 0.000 0.500 0.000 (multiplicity 4)
Sn 0.000 0.000 0.230 (multiplicity 2)
Br 0.000 0.000 0.972 (multiplicity 2)
Br 0.240 0.240 0.258 (multiplicity 8)

Values from the calculation:
The energy above the lowest structure with this stoichiometry is 0.014 eV per atom.


First-principles (PBE-GGA) data for a geometry-optimized Rb3Sn2Br8 structure, as listed in Alexandria via LeMat-Bulk.

Cell lengths 8.5436, 8.5436, 26.6107 Å; angles 90.00, 90.00, 120.00 degrees
Space group R-3m (No. 166, hexagonal axes)
Unique sites:
Rb 0.0000 0.0000 0.0000 (multiplicity 3)
Rb 0.0000 0.0000 0.2107 (multiplicity 6)
Sn 0.0000 0.0000 0.4389 (multiplicity 6)
Br 0.0000 0.0000 0.3393 (multiplicity 6)
Br 0.0391 0.5195 0.7725 (multiplicity 18)

Values from the calculation:
The calculation puts the total DFT energy (no corrections) at -3.011 eV per atom.


First-principles (PBE-GGA) data for a geometry-optimized Rb6SnBr8 structure, as listed in Alexandria via LeMat-Bulk.

Cell lengths 10.1932, 10.1932, 20.4821 Å; angles 90.00, 90.00, 120.00 degrees
Space group R-3 (No. 148, hexagonal axes)
Unique sites:
Rb 0.0188 0.6166 0.4203 (multiplicity 18)
Sn 0.0000 0.0000 0.5000 (multiplicity 3)
Br 0.0000 0.0000 0.1587 (multiplicity 6)
Br 0.0111 0.7615 0.5847 (multiplicity 18)

Values from the calculation:
The calculation puts the total DFT energy (no corrections) at -3.085 eV per atom.


no.,spin magnetization (μB/f.u.)
1,0.0
2,3.0
3,0.0
4,0.0
5,0.0
6,0.2
7,0.0
8,0.0